The following is a DFT calculation (PBE-GGA) of crystalline Tb2Cu2Pd at its relaxed geometry.

As for the size of the total moment: 0.00 μB per formula unit. The formation energy is -45.06 kJ/mol of atoms. Its energy relative to the lowest polymorph listed for this composition is 0 meV/atom.

It has space group C2/m (No. 12), with a = 10.2574 Å, b = 4.0312 Å, c = 10.8211 Å, α = 90.00°, β = 113.85° and γ = 90.00°. The asymmetric unit holds Tb at (0.0143, 0.0000, 0.3405), Tb at (0.1914, 0.0000, 0.1155), Cu at (0.0264, 0.5000, 0.8933), Cu at (0.1345, 0.5000, 0.5527) and Pd at (0.2133, 0.5000, 0.3251).

=====

The following is a DFT calculation (PBE-GGA) of crystalline Ba2Mg3In5 at its relaxed geometry.

As for the size of the total moment: 0.00 μB per formula unit. The formation energy is -25.97 kJ/mol of atoms. Its energy relative to the lowest polymorph listed for this composition is 48 meV/atom.

It has space group P-4m2 (No. 115), with a = 4.9438 Å, b = 4.9438 Å, c = 12.5584 Å, α = 90.00°, β = 90.00° and γ = 90.00°. The asymmetric unit holds Ba at (0.0000, 0.5000, 0.2416), Mg at (0.0000, 0.5000, 0.6322), Mg at (0.5000, 0.5000, 0.5000), In at (0.0000, 0.0000, 0.0000), In at (0.0000, 0.0000, 0.5000), In at (0.0000, 0.5000, 0.8604) and In at (0.5000, 0.5000, 0.0000).

=====

The following is a DFT calculation (PBE-GGA) of crystalline CaEuCuPt at its relaxed geometry.

As for the size of the total moment: 7.25 μB per formula unit. The formation energy is -49.89 kJ/mol of atoms.

It has space group F-43m (No. 216), with a = 7.1306 Å, b = 7.1306 Å, c = 7.1306 Å, α = 90.00°, β = 90.00° and γ = 90.00°. The asymmetric unit holds Ca at (0.0000, 0.0000, 0.0000), Eu at (0.0000, 0.0000, 0.5000), Cu at (0.2500, 0.2500, 0.7500) and Pt at (0.2500, 0.2500, 0.2500).

=====

The following is a DFT calculation (PBE-GGA) of crystalline MgRh5 at its relaxed geometry.

As for the size of the total moment: 0.00 μB per formula unit. The formation energy is -8.88 kJ/mol of atoms.

It has space group P4/mmm (No. 123), with a = 2.7605 Å, b = 2.7605 Å, c = 11.4759 Å, α = 90.00°, β = 90.00° and γ = 90.00°. The asymmetric unit holds Mg at (0.0000, 0.0000, 0.0000), Rh at (0.0000, 0.0000, 0.3338), Rh at (0.5000, 0.5000, 0.1728) and Rh at (0.5000, 0.5000, 0.5000).

=====

The following is a DFT calculation (PBE-GGA) of crystalline Th4Sb3H at its relaxed geometry.

As for the size of the total moment: 0.00 μB per formula unit. The total DFT energy (no corrections) is -6.10 eV per atom.

It has space group Imm2 (No. 44), with a = 6.6213 Å, b = 10.9225 Å, c = 6.2820 Å, α = 90.00°, β = 90.00° and γ = 90.00°. The asymmetric unit holds Th at (0.0000, 0.2377, 0.0000), Th at (0.2474, 0.5000, 0.7756), Sb at (0.0000, 0.2249, 0.5102), Sb at (0.0000, 0.5000, 0.2526) and H at (0.0000, 0.0000, 0.0117).

=====

The following is a DFT calculation (PBE-GGA) of crystalline PrDy3Tm7 at its relaxed geometry.

As for the size of the total moment: 0.00 μB per formula unit. The formation energy is 15.31 kJ/mol of atoms. Its energy relative to the lowest polymorph listed for this composition is 0 meV/atom.

It has space group P2/m (No. 10), with a = 6.8822 Å, b = 5.4747 Å, c = 9.8381 Å, α = 90.00°, β = 109.21° and γ = 90.00°. The asymmetric unit holds Pr at (0.0000, 0.0000, 0.0000), Dy at (0.2766, 0.5000, 0.4939), Dy at (0.5000, 0.0000, 0.0000), Tm at (0.0000, 0.0000, 0.5000), Tm at (0.1514, 0.5000, 0.7896), Tm at (0.3232, 0.5000, 0.1426) and Tm at (0.4299, 0.0000, 0.3320).

=====

The following is a DFT calculation (PBE-GGA) of crystalline KSnAu2Se at its relaxed geometry.

The formation energy (no corrections) comes out at 0.214 eV/atom. As for the size of the total moment: 0.00 μB per formula unit.

It has space group P4/mmm (No. 123), with a = 5.1099 Å, b = 5.1099 Å, c = 5.7539 Å, α = 90.00°, β = 90.00° and γ = 90.00°. The asymmetric unit holds K at (0.0000, 0.0000, 0.0000), Sn at (0.5000, 0.5000, 0.0000), Au at (0.0000, 0.5000, 0.5000) and Se at (0.0000, 0.0000, 0.5000).

=====

The following is a DFT calculation (PBE-GGA) of crystalline Ac6OsPb2 at its relaxed geometry.

As for the size of the total moment: 0.00 μB per formula unit. The formation energy is -24.40 kJ/mol of atoms. Its energy relative to the lowest polymorph listed for this composition is 20 meV/atom.

It has space group P2_1/c (No. 14), with a = 7.3185 Å, b = 10.4757 Å, c = 10.8360 Å, α = 90.00°, β = 121.68° and γ = 90.00°. The asymmetric unit holds Ac at (0.1248, 0.1371, 0.4654), Ac at (0.3106, 0.7436, 0.4405), Ac at (0.3236, 0.0320, 0.1928), Os at (0.5000, 0.0000, 0.5000) and Pb at (0.1954, 0.0910, 0.8118).